Record 1
VASP calculation (PBEsol) on crystalline LiOs2Au at its relaxed geometry. Values from VASP.

The calculation puts the total magnetization at 0.001 μB/cell. The value obtained for the formation energy is 0.37 eV/atom. The electronic total energy is -28.86 eV/f.u.

Cell and atoms, written as Quantum ESPRESSO input:
```
&SYSTEM
  ibrav = 0, nat = 4, ntyp = 3
/
ATOMIC_SPECIES
Li 6.94 Li.upf
Os 190.23 Os.upf
Au 196.97 Au.upf
CELL_PARAMETERS angstrom
1.390 -2.297 0.000
1.390 2.297 0.000
0.000 0.000 9.291
ATOMIC_POSITIONS crystal
Li 0.000 0.000 0.000
Os 0.000 0.000 0.481
Os 0.500 0.500 0.248
Au 0.500 0.500 0.759
```

Record 2
VASP calculation (PBEsol) on crystalline Cs2LiInF6 at its relaxed geometry. Values from VASP.

The calculation puts the total magnetization at 0.001 μB/cell. The electronic total energy is -46.06 eV/f.u.

Cell and atoms, written as Quantum ESPRESSO input:
```
&SYSTEM
  ibrav = 0, nat = 10, ntyp = 4
/
ATOMIC_SPECIES
Cs 132.91 Cs.upf
Li 6.94 Li.upf
In 114.82 In.upf
F 19.00 F.upf
CELL_PARAMETERS angstrom
0.000 4.314 4.314
4.314 0.000 4.314
4.314 4.314 0.000
ATOMIC_POSITIONS crystal
Cs 0.250 0.250 0.250
Cs 0.750 0.750 0.750
Li 0.000 0.000 0.000
In 0.500 0.500 0.500
F 0.256 0.256 0.744
F 0.256 0.744 0.256
F 0.256 0.744 0.744
F 0.744 0.256 0.256
F 0.744 0.256 0.744
F 0.744 0.744 0.256
```

Record 3
VASP calculation (PBEsol) on crystalline SiTeW2 at its relaxed geometry. Values from VASP.

The calculation puts the total magnetization at 0.000 μB/cell. The electronic total energy is -34.68 eV/f.u.

Cell and atoms, written as Quantum ESPRESSO input:
```
&SYSTEM
  ibrav = 0, nat = 4, ntyp = 3
/
ATOMIC_SPECIES
Si 28.09 Si.upf
Te 127.60 Te.upf
W 183.84 W.upf
CELL_PARAMETERS angstrom
1.528 0.882 8.197
-1.528 0.882 8.197
0.000 -1.764 8.197
ATOMIC_POSITIONS crystal
Si 0.000 0.000 0.000
Te 0.500 0.500 0.500
W 0.255 0.255 0.255
W 0.745 0.745 0.745
```

Record 4
VASP calculation (PBEsol) on crystalline TlCr3Te at its relaxed geometry. Values from VASP.

The calculation puts the total magnetization at 11.765 μB/cell. The electronic total energy is -29.50 eV/f.u.

Cell and atoms, written as Quantum ESPRESSO input:
```
&SYSTEM
  ibrav = 0, nat = 5, ntyp = 3
/
ATOMIC_SPECIES
Tl 204.38 Tl.upf
Cr 52.00 Cr.upf
Te 127.60 Te.upf
CELL_PARAMETERS angstrom
5.028 0.000 0.000
0.000 5.028 0.000
0.000 0.000 5.028
ATOMIC_POSITIONS crystal
Tl 0.000 0.000 0.000
Cr 0.000 0.000 0.500
Cr 0.000 0.500 0.000
Cr 0.500 0.000 0.000
Te 0.500 0.500 0.500
```

Record 5
VASP calculation (PBEsol) on crystalline SnAs2PSe at its relaxed geometry. Values from VASP.

The calculation puts the total magnetization at 0.000 μB/cell. The electronic total energy is -22.12 eV/f.u.

Cell and atoms, written as Quantum ESPRESSO input:
```
&SYSTEM
  ibrav = 0, nat = 5, ntyp = 4
/
ATOMIC_SPECIES
Sn 118.71 Sn.upf
As 74.92 As.upf
P 30.97 P.upf
Se 78.96 Se.upf
CELL_PARAMETERS angstrom
4.794 0.000 0.000
0.000 4.794 0.000
0.000 0.000 4.744
ATOMIC_POSITIONS crystal
Sn 0.000 0.000 0.000
As 0.000 0.500 0.500
As 0.500 0.000 0.500
P 0.500 0.500 0.500
Se 0.500 0.500 0.000
```

Record 6
VASP calculation (PBEsol) on crystalline HgPb5 at its relaxed geometry. Values from VASP.

The calculation puts the total magnetization at 0.000 μB/cell. The value obtained for the formation energy is 0.00 eV/atom. The electronic total energy is -20.56 eV/f.u.

Cell and atoms, written as Quantum ESPRESSO input:
```
&SYSTEM
  ibrav = 0, nat = 6, ntyp = 2
/
ATOMIC_SPECIES
Hg 200.59 Hg.upf
Pb 207.20 Pb.upf
CELL_PARAMETERS angstrom
3.481 0.000 0.000
0.000 3.481 0.000
0.000 0.000 14.116
ATOMIC_POSITIONS crystal
Hg 0.000 0.000 0.000
Pb 0.000 0.000 0.326
Pb 0.000 0.000 0.674
Pb 0.500 0.500 0.152
Pb 0.500 0.500 0.500
Pb 0.500 0.500 0.848
```

Record 7
VASP calculation (PBEsol) on crystalline SiAgPb2 at its relaxed geometry. Values from VASP.

The calculation puts the total magnetization at 0.000 μB/cell. The electronic total energy is -15.79 eV/f.u.

Cell and atoms, written as Quantum ESPRESSO input:
```
&SYSTEM
  ibrav = 0, nat = 4, ntyp = 3
/
ATOMIC_SPECIES
Si 28.09 Si.upf
Ag 107.87 Ag.upf
Pb 207.20 Pb.upf
CELL_PARAMETERS angstrom
3.390 0.000 0.000
0.000 3.390 0.000
0.000 0.000 7.920
ATOMIC_POSITIONS crystal
Si 0.000 0.000 0.000
Ag 0.000 0.000 0.500
Pb 0.500 0.500 0.251
Pb 0.500 0.500 0.749
```

Record 8
VASP calculation (PBEsol) on crystalline Li2TlRu at its relaxed geometry. Values from VASP.

The calculation puts the total magnetization at 0.587 μB/cell. The value obtained for the formation energy is 0.32 eV/atom. The electronic total energy is -15.47 eV/f.u.

Cell and atoms, written as Quantum ESPRESSO input:
```
&SYSTEM
  ibrav = 0, nat = 4, ntyp = 3
/
ATOMIC_SPECIES
Li 6.94 Li.upf
Tl 204.38 Tl.upf
Ru 101.07 Ru.upf
CELL_PARAMETERS angstrom
1.447 0.835 9.368
-1.447 0.835 9.368
0.000 -1.670 9.368
ATOMIC_POSITIONS crystal
Li 0.241 0.241 0.241
Li 0.759 0.759 0.759
Tl 0.000 0.000 0.000
Ru 0.500 0.500 0.500
```

Record 9
VASP calculation (PBEsol) on crystalline K3MgSn at its relaxed geometry. Values from VASP.

The calculation puts the total magnetization at 1.035 μB/cell. The value obtained for the formation energy is 0.29 eV/atom. The electronic total energy is -7.94 eV/f.u.

Cell and atoms, written as Quantum ESPRESSO input:
```
&SYSTEM
  ibrav = 0, nat = 5, ntyp = 3
/
ATOMIC_SPECIES
K 39.10 K.upf
Mg 24.30 Mg.upf
Sn 118.71 Sn.upf
CELL_PARAMETERS angstrom
6.704 0.000 0.000
0.000 6.704 0.000
0.000 0.000 6.704
ATOMIC_POSITIONS crystal
K 0.000 0.000 0.500
K 0.000 0.500 0.000
K 0.500 0.000 0.000
Mg 0.500 0.500 0.500
Sn 0.000 0.000 0.000
```

Record 10
VASP calculation (PBEsol) on crystalline Lu2GeO5 at its relaxed geometry. Values from VASP.

The calculation puts the total magnetization at 0.000 μB/cell. The electronic total energy is -65.21 eV/f.u.

Cell and atoms, written as Quantum ESPRESSO input:
```
&SYSTEM
  ibrav = 0, nat = 32, ntyp = 3
/
ATOMIC_SPECIES
Lu 174.97 Lu.upf
Ge 72.64 Ge.upf
O 16.00 O.upf
CELL_PARAMETERS angstrom
9.063 0.000 0.000
0.000 6.745 0.000
-0.867 0.000 6.511
ATOMIC_POSITIONS crystal
Lu 0.032 0.120 0.226
Lu 0.032 0.380 0.726
Lu 0.347 0.145 0.971
Lu 0.347 0.355 0.471
Lu 0.653 0.645 0.529
Lu 0.653 0.855 0.029
Lu 0.968 0.620 0.274
Lu 0.968 0.880 0.774
Ge 0.301 0.605 0.977
Ge 0.301 0.895 0.477
Ge 0.699 0.105 0.523
Ge 0.699 0.395 0.023
O 0.105 0.119 0.910
O 0.105 0.381 0.410
O 0.105 0.647 0.968
O 0.105 0.853 0.468
O 0.280 0.071 0.270
O 0.280 0.429 0.770
O 0.367 0.076 0.656
O 0.367 0.424 0.156
O 0.404 0.679 0.484
O 0.404 0.821 0.984
O 0.596 0.179 0.016
O 0.596 0.321 0.516
O 0.633 0.576 0.844
O 0.633 0.924 0.344
O 0.720 0.571 0.230
O 0.720 0.929 0.730
O 0.895 0.147 0.532
O 0.895 0.353 0.032
O 0.895 0.619 0.590
O 0.895 0.881 0.090
```

Record 11
VASP calculation (PBEsol) on crystalline NaMnBi at its relaxed geometry. Values from VASP.

The calculation puts the total magnetization at 7.970 μB/cell. The value obtained for the formation energy is 0.12 eV/atom. The electronic total energy is -15.09 eV/f.u.

Cell and atoms, written as Quantum ESPRESSO input:
```
&SYSTEM
  ibrav = 0, nat = 6, ntyp = 3
/
ATOMIC_SPECIES
Na 22.99 Na.upf
Mn 54.94 Mn.upf
Bi 208.98 Bi.upf
CELL_PARAMETERS angstrom
4.438 0.000 0.000
0.000 4.438 0.000
0.000 0.000 7.567
ATOMIC_POSITIONS crystal
Na 0.250 0.250 0.159
Na 0.750 0.750 0.841
Mn 0.250 0.750 0.500
Mn 0.750 0.250 0.500
Bi 0.250 0.250 0.724
Bi 0.750 0.750 0.276
```

Record 12
VASP calculation (PBEsol) on crystalline NaInBr2 at its relaxed geometry. Values from VASP.

The calculation puts the total magnetization at 0.000 μB/cell. The electronic total energy is -11.88 eV/f.u.

Cell and atoms, written as Quantum ESPRESSO input:
```
&SYSTEM
  ibrav = 0, nat = 8, ntyp = 3
/
ATOMIC_SPECIES
Na 22.99 Na.upf
In 114.82 In.upf
Br 79.90 Br.upf
CELL_PARAMETERS angstrom
-3.479 3.479 6.701
3.479 -3.479 6.701
3.479 3.479 -6.701
ATOMIC_POSITIONS crystal
Na 0.000 0.000 0.000
Na 0.750 0.250 0.500
In 0.250 0.750 0.500
In 0.500 0.500 0.000
Br 0.088 0.625 0.963
Br 0.375 0.338 0.463
Br 0.662 0.125 0.037
Br 0.875 0.912 0.537
```

Which of these has the highest electronic total energy?
K3MgSn